# 1
TaNbCr3 | PBE-GGA | optimized geometry

```
5
Lattice="-3.808 1.767 -1.775 -2.274 -3.794 1.102 -1.050 1.806 4.051" Properties=species:S:1:pos:R:3 pbc="T T T"
Cr -1.137 -1.897 0.551
Cr -0.525 0.903 2.026
Cr -1.904 0.884 -0.887
Nb -3.566 -0.110 1.689
Ta 0.000 0.000 0.000
```

Output
The calculated formation energy is 1.63 eV per atom. As for the symmetry: Pm-3m.

# 2
NbVGa | PBE-GGA | optimized geometry

```
6
Lattice="4.519 0.011 0.008 2.261 3.829 -0.927 0.008 1.215 5.178" Properties=species:S:1:pos:R:3 pbc="T T T"
Ga 3.847 1.050 3.107
Ga 3.841 0.464 0.599
V 1.587 2.117 1.933
V 3.843 3.215 0.837
Nb 1.590 2.728 4.541
Nb 3.847 3.818 3.407
```

Output
For the offset from the most stable computed form, the calculation gives 200 meV per atom. The calculated formation energy is -0.04 eV per atom. As for the symmetry: P-1.

# 3
Ti12AlPb3 | PBE-GGA | optimized geometry

```
16
Lattice="-0.220 -1.228 5.092 -0.314 -5.087 -1.240 10.486 -0.715 0.280" Properties=species:S:1:pos:R:3 pbc="T T T"
Ti 7.534 -4.365 -0.727
Ti -0.321 -3.461 3.185
Ti 1.218 -0.704 2.581
Ti 9.048 -1.238 2.791
Ti -0.212 -2.853 0.667
Ti 5.033 -3.198 0.755
Ti 2.479 -4.021 -0.862
Ti 2.639 -1.436 -0.232
Ti 4.920 -3.831 3.378
Ti 7.693 -1.781 -0.097
Ti 3.869 -0.885 2.652
Ti 6.397 -1.057 2.720
Pb 2.352 -3.336 1.996
Pb 0.000 0.000 0.000
Pb 7.600 -3.693 2.136
Al 5.243 -0.357 0.140
```

Output
The calculated formation energy is -0.10 eV per atom. As for the symmetry: Pmmm.

# 4
Rb2CaTaO4 | PBE-GGA | optimized geometry

```
8
Lattice="6.126 -0.129 -0.198 -2.727 5.487 0.198 -2.727 -2.026 5.103" Properties=species:S:1:pos:R:3 pbc="T T T"
O 1.602 0.937 2.296
O 3.564 2.512 0.768
O -1.973 3.055 3.821
O -1.850 0.157 3.321
Rb 0.336 3.544 1.325
Rb 0.000 0.000 0.000
Ta -2.727 1.730 2.651
Ca 0.336 -0.213 3.777
```

Output
The formation energy (no corrections) is -2268 meV per atom. As for the symmetry: I-4.

# 5
NaNiP2S | PBE-GGA | optimized geometry

```
5
Lattice="4.769 0.000 0.000 0.000 4.769 0.000 0.000 0.000 4.749" Properties=species:S:1:pos:R:3 pbc="T T T"
Ni 2.385 2.385 2.375
Na 0.000 0.000 0.000
P 2.385 0.000 0.000
P 0.000 2.385 0.000
S 0.000 0.000 2.375
```

Output
The formation energy (no corrections) is 1644 meV per atom. For the offset from the most stable computed form, the calculation gives 1468 meV per atom. As for the symmetry: P4/mmm.

# 6
SrLiAu | PBE-GGA | optimized geometry

```
6
Lattice="4.372 0.000 0.000 2.186 5.721 0.035 2.186 1.409 6.439" Properties=species:S:1:pos:R:3 pbc="T T T"
Sr 2.186 2.004 4.406
Sr 6.558 5.126 2.069
Au 4.372 4.466 4.463
Au 4.372 2.664 2.012
Li 2.186 1.986 0.543
Li 6.558 5.144 5.932
```

Output
For the offset from the most stable computed form, the calculation gives 33 meV per atom. The calculated formation energy is -0.55 eV per atom. As for the symmetry: C2/m.

# 7
TlTeRhO6 | PBE-GGA | optimized geometry

```
9
Lattice="5.284 0.000 0.001 2.642 4.576 0.001 -0.001 -0.001 4.894" Properties=species:S:1:pos:R:3 pbc="T T T"
O 3.343 0.028 1.348
O 4.288 1.666 3.547
O 0.994 1.666 1.348
O 3.587 2.881 1.349
O 1.940 0.028 3.547
O 1.695 2.881 3.547
Te 2.641 1.525 2.448
Rh 5.283 3.050 2.448
Tl 5.283 -0.001 4.895
```

Output
The formation energy (no corrections) is -849 meV per atom. As for the symmetry: P312.

# 8
BaCuIr2 | PBE-GGA | optimized geometry

```
4
Lattice="3.328 0.000 0.000 0.000 3.328 0.000 0.000 0.000 7.393" Properties=species:S:1:pos:R:3 pbc="T T T"
Ba 0.000 0.000 3.706
Ir 1.664 1.664 1.211
Ir 0.000 0.000 0.096
Cu 1.664 1.664 6.077
```

Output
For the offset from the most stable computed form, the calculation gives 538 meV per atom. The calculated formation energy is 0.40 eV per atom. As for the symmetry: P4mm.

# 9
TiSiTc2 | PBE-GGA | optimized geometry

```
4
Lattice="-1.314 -0.590 2.764 -2.218 -3.160 -1.730 3.130 -2.696 0.912" Properties=species:S:1:pos:R:3 pbc="T T T"
Tc 1.565 -1.348 0.456
Tc -1.109 -1.580 -0.865
Ti -0.657 -0.295 1.382
Si -0.201 -3.223 0.973
```

Output
The formation energy (no corrections) is -548 meV per atom. As for the symmetry: P4/mmm.

# 10
CoPtPb | PBE-GGA | optimized geometry

```
3
Lattice="4.081 0.000 0.000 -2.040 3.534 0.000 0.000 0.000 4.023" Properties=species:S:1:pos:R:3 pbc="T T T"
Pb 2.040 1.178 1.303
Co 0.000 0.000 3.682
Pt 0.000 2.356 3.062
```

Output
For the offset from the most stable computed form, the calculation gives 69 meV per atom. The calculated formation energy is 0.30 eV per atom. As for the symmetry: P3m1.

# 11
TiNb | PBE-GGA | optimized geometry

```
4
Lattice="4.612 0.000 0.000 -2.306 3.994 0.000 0.000 0.000 5.128" Properties=species:S:1:pos:R:3 pbc="T T T"
Nb 0.000 2.663 3.846
Nb 2.306 1.331 1.282
Ti 2.306 1.331 3.846
Ti 0.000 2.663 1.282
```

Output
The calculated formation energy is 1.56 eV per atom. As for the symmetry: P6_3/mmc.

# 12
RbPtW3 | PBE-GGA | optimized geometry

```
5
Lattice="-1.250 -3.916 2.837 3.652 -2.685 -2.097 3.169 1.549 3.535" Properties=species:S:1:pos:R:3 pbc="T T T"
Rb 2.786 -2.526 2.137
W 1.585 0.775 1.767
W -0.625 -1.958 1.418
W 1.826 -1.342 -1.049
Pt 0.000 0.000 0.000
```

Output
For the offset from the most stable computed form, the calculation gives 0 meV per atom. The calculated formation energy is 2.33 eV per atom. As for the symmetry: Pm-3m.

# 13
ZrW3 | PBE-GGA | optimized geometry

```
4
Lattice="-0.034 -1.273 -2.969 -2.299 -2.076 0.916 -4.690 4.386 -1.826" Properties=species:S:1:pos:R:3 pbc="T T T"
Zr -4.684 1.615 -2.396
W -2.264 2.117 -0.882
W -0.081 0.076 -0.032
W -2.339 -0.578 -1.483
```

Output
The calculated formation energy is 0.08 eV per atom. As for the symmetry: P4/mmm.

# 14
PrFeSi2 | PBE-GGA | optimized geometry

```
4
Lattice="3.935 0.000 0.000 1.968 3.408 0.000 1.968 1.136 5.290" Properties=species:S:1:pos:R:3 pbc="T T T"
Si 5.903 3.408 3.239
Si 1.968 1.136 2.051
Fe 3.935 2.272 2.645
Pr 0.000 0.000 0.000
```

Output
The formation energy (no corrections) is -616 meV per atom. As for the symmetry: R-3m.

# 15
HoTmMnCd | PBE-GGA | optimized geometry

```
4
Lattice="-4.999 -0.736 -0.790 -2.677 -2.993 3.168 -3.425 2.067 3.187" Properties=species:S:1:pos:R:3 pbc="T T T"
Ho -5.550 -0.831 2.783
Tm 0.000 0.000 0.000
Cd -8.325 -1.247 4.174
Mn -2.775 -0.416 1.391
```

Output
The calculated formation energy is -0.02 eV per atom. As for the symmetry: F-43m.

# 16
GeTe2 | PBE-GGA | optimized geometry

```
6
Lattice="4.096 0.000 0.880 1.626 7.534 2.405 0.800 0.385 6.251" Properties=species:S:1:pos:R:3 pbc="T T T"
Ge 5.012 4.499 6.592
Ge 1.510 3.420 2.944
Te 3.669 5.244 2.869
Te 3.652 0.729 2.948
Te 2.853 2.674 6.667
Te 2.870 7.190 6.588
```

Output
The formation energy (no corrections) is 32 meV per atom. As for the symmetry: C2/m.

# 17
LiSm3Al | PBE-GGA | optimized geometry

```
10
Lattice="-2.728 2.902 3.358 2.912 -1.798 3.919 5.117 9.069 0.360" Properties=species:S:1:pos:R:3 pbc="T T T"
Al 1.538 8.591 4.527
Al 1.995 3.464 5.288
Sm -0.675 2.936 3.576
Sm 4.208 9.119 6.239
Sm 4.120 8.572 2.599
Sm 1.717 5.748 3.089
Sm 4.543 3.405 3.368
Sm 2.140 0.580 3.857
Li 4.362 6.246 4.806
Li 1.899 2.907 1.650
```

Output
For the offset from the most stable computed form, the calculation gives 0 meV per atom. The calculated formation energy is -0.13 eV per atom. As for the symmetry: Cmcm.

# 18
Ce2HoPb | PBE-GGA | optimized geometry

```
4
Lattice="3.436 0.000 0.000 1.718 2.975 0.000 1.718 0.992 12.323" Properties=species:S:1:pos:R:3 pbc="T T T"
Ce 5.154 2.975 3.283
Ce 1.718 0.992 9.040
Pb 0.000 0.000 0.000
Ho 3.436 1.984 6.162
```

Output
For the offset from the most stable computed form, the calculation gives 438 meV per atom. The calculated formation energy is 0.16 eV per atom. As for the symmetry: R-3m.

# 19
CaIrOs2 | PBE-GGA | optimized geometry

```
4
Lattice="4.526 0.000 0.000 2.263 3.920 0.000 2.263 1.307 3.696" Properties=species:S:1:pos:R:3 pbc="T T T"
Ir 6.789 3.920 2.772
Os 2.263 1.307 0.924
Os 0.000 0.000 0.000
Ca 4.526 2.613 1.848
```

Output
For the offset from the most stable computed form, the calculation gives 452 meV per atom. The calculated formation energy is 0.67 eV per atom. As for the symmetry: F-43m.

# 20
KU2CuO8 | PBE-GGA | optimized geometry

```
12
Lattice="-4.830 -2.101 0.332 1.080 -5.157 0.273 0.031 -0.076 6.991" Properties=species:S:1:pos:R:3 pbc="T T T"
O -2.423 -4.763 4.030
O -1.296 -2.570 3.566
O -3.579 -2.595 1.646
O -2.468 -4.782 0.504
O -3.695 -2.904 5.985
O -0.140 -4.739 5.950
O -1.251 -2.552 7.092
O -0.024 -4.429 1.611
K 0.015 -0.038 3.495
U -1.835 -3.655 5.598
U -1.884 -3.679 1.998
Cu 0.000 0.000 0.000
```

Output
The formation energy (no corrections) is -2280 meV per atom. As for the symmetry: C2/m.

| no. | E_tot (eV per atom) |
| --- | --- |
| 1 | -8.52 |
| 2 | -7.45 |
| 3 | -6.95 |
| 4 | -6.72 |
| 5 | -2.77 |
| 6 | -2.84 |
| 7 | -5.58 |
| 8 | -5.54 |
| 9 | -9.06 |
| 10 | -5.32 |
| 11 | -7.42 |
| 12 | -6.84 |
| 13 | -11.78 |
| 14 | -6.64 |
| 15 | -4.80 |
| 16 | -3.60 |
| 17 | -4.09 |
| 18 | -4.88 |
| 19 | -7.66 |
| 20 | -7.90 |